# 1
The following is a PBE calculation of an optimized crystal structure of Ba2GaAu, from Alexandria.

```
data_Ba2GaAu
_space_group_name_H-M_alt 'P 4/m m m'
_space_group_IT_number 123
_space_group_name_Hall '-P 4 2'
_cell_length_a 5.831
_cell_length_b 5.831
_cell_length_c 3.975
_cell_angle_alpha 90.00
_cell_angle_beta 90.00
_cell_angle_gamma 90.00
loop_
_atom_site_label
_atom_site_type_symbol
_atom_site_fract_x
_atom_site_fract_y
_atom_site_fract_z
Ba1 Ba 0.000 0.500 0.000
Ga1 Ga 0.000 0.000 0.500
Au1 Au 0.500 0.500 0.500
```

=====

# 2
The following is a PBE calculation of an optimized crystal structure of BaGa2Au3, from Alexandria.

```
data_BaGa2Au3
_space_group_name_H-M_alt 'C m c m'
_space_group_IT_number 63
_space_group_name_Hall '-C 2c 2'
_cell_length_a 11.011
_cell_length_b 8.631
_cell_length_c 5.787
_cell_angle_alpha 90.00
_cell_angle_beta 90.00
_cell_angle_gamma 90.00
loop_
_atom_site_label
_atom_site_type_symbol
_atom_site_fract_x
_atom_site_fract_y
_atom_site_fract_z
Ba1 Ba 0.000 0.176 0.250
Ga1 Ga 0.197 0.500 0.000
Au1 Au 0.000 0.422 0.750
Au2 Au 0.188 0.201 0.750
```

=====

# 3
The following is a PBE calculation of an optimized crystal structure of BaGa2Au3, from Alexandria.

```
data_BaGa2Au3
_space_group_name_H-M_alt 'C 1 2/m 1'
_space_group_IT_number 12
_cell_length_a 16.599
_cell_length_b 4.660
_cell_length_c 7.948
_cell_angle_alpha 90.00
_cell_angle_beta 113.99
_cell_angle_gamma 90.00
loop_
_space_group_symop_operation_xyz
'x,y,z'
'-x,-y,-z'
'-x,y,-z'
'x,-y,z'
'x+1/2,y+1/2,z'
'-x+1/2,-y+1/2,-z'
'-x+1/2,y+1/2,-z'
'x+1/2,-y+1/2,z'
loop_
_atom_site_label
_atom_site_type_symbol
_atom_site_fract_x
_atom_site_fract_y
_atom_site_fract_z
Ba1 Ba 0.159 0.000 0.094
Ga1 Ga 0.020 0.500 0.183
Ga2 Ga 0.164 0.000 0.621
Au1 Au 0.008 0.000 0.324
Au2 Au 0.111 0.500 0.707
Au3 Au 0.186 0.500 0.428
```

=====

# 4
The following is a PBE calculation of an optimized crystal structure of Ba2GaAu3, from Alexandria.

```
data_Ba2GaAu3
_space_group_name_H-M_alt 'F m m m'
_space_group_IT_number 69
_space_group_name_Hall '-F 2 2'
_cell_length_a 8.899
_cell_length_b 9.598
_cell_length_c 16.432
_cell_angle_alpha 90.00
_cell_angle_beta 90.00
_cell_angle_gamma 90.00
loop_
_atom_site_label
_atom_site_type_symbol
_atom_site_fract_x
_atom_site_fract_y
_atom_site_fract_z
Ba1 Ba 0.241 0.000 0.000
Ba2 Ba 0.250 0.250 0.250
Ga1 Ga 0.000 0.000 0.334
Au1 Au 0.000 0.000 0.173
Au2 Au 0.000 0.237 0.413
```

=====

# 5
The following is a PBE calculation of an optimized crystal structure of BaGa4Au2, from Alexandria.

```
data_BaGa4Au2
_space_group_name_H-M_alt 'P n m a'
_space_group_IT_number 62
_cell_length_a 18.061
_cell_length_b 4.557
_cell_length_c 7.474
_cell_angle_alpha 90.00
_cell_angle_beta 90.00
_cell_angle_gamma 90.00
loop_
_space_group_symop_operation_xyz
'x,y,z'
'-x,-y,-z'
'-x+1/2,-y,z+1/2'
'x+1/2,y,-z+1/2'
'x+1/2,-y+1/2,-z+1/2'
'-x+1/2,y+1/2,z+1/2'
'-x,y+1/2,-z'
'x,-y+1/2,z'
loop_
_atom_site_label
_atom_site_type_symbol
_atom_site_fract_x
_atom_site_fract_y
_atom_site_fract_z
Ba1 Ba 0.118 0.250 0.004
Ga1 Ga 0.041 0.750 0.717
Ga2 Ga 0.089 0.250 0.492
Ga3 Ga 0.189 0.750 0.325
Ga4 Ga 0.195 0.750 0.706
Au1 Au 0.039 0.750 0.314
Au2 Au 0.232 0.250 0.522
```

=====

# 6
The following is a PBE calculation of an optimized crystal structure of Ba2GaAu2, from Alexandria.

```
data_Ba2GaAu2
_space_group_name_H-M_alt 'I 4/m m m'
_space_group_IT_number 139
_space_group_name_Hall '-I 4 2'
_cell_length_a 3.999
_cell_length_b 3.999
_cell_length_c 19.596
_cell_angle_alpha 90.00
_cell_angle_beta 90.00
_cell_angle_gamma 90.00
loop_
_atom_site_label
_atom_site_type_symbol
_atom_site_fract_x
_atom_site_fract_y
_atom_site_fract_z
Ba1 Ba 0.000 0.000 0.108
Ga1 Ga 0.000 0.000 0.500
Au1 Au 0.000 0.500 0.250
```

=====

# 7
The following is a PBE calculation of an optimized crystal structure of BaGaAu11, from Alexandria.

```
data_BaGaAu11
_space_group_name_H-M_alt 'C 1 2/m 1'
_space_group_IT_number 12
_cell_length_a 5.564
_cell_length_b 13.261
_cell_length_c 7.418
_cell_angle_alpha 90.00
_cell_angle_beta 105.84
_cell_angle_gamma 90.00
loop_
_space_group_symop_operation_xyz
'x,y,z'
'-x,-y,-z'
'-x,y,-z'
'x,-y,z'
'x+1/2,y+1/2,z'
'-x+1/2,-y+1/2,-z'
'-x+1/2,y+1/2,-z'
'x+1/2,-y+1/2,z'
loop_
_atom_site_label
_atom_site_type_symbol
_atom_site_fract_x
_atom_site_fract_y
_atom_site_fract_z
Ba1 Ba 0.000 0.000 0.000
Ga1 Ga 0.000 0.500 0.500
Au1 Au 0.000 0.000 0.500
Au2 Au 0.077 0.391 0.230
Au3 Au 0.128 0.182 0.349
Au4 Au 0.250 0.250 0.000
```

=====

# 8
The following is a PBE calculation of an optimized crystal structure of Ba2GaGe2Au6, from Alexandria.

```
data_Ba2GaGe2Au6
_space_group_name_H-M_alt 'R -3 m'
_space_group_IT_number 166
_space_group_name_Hall '-R 3 2"'
_cell_length_a 7.1210
_cell_length_b 7.1210
_cell_length_c 20.0462
_cell_angle_alpha 90.00
_cell_angle_beta 90.00
_cell_angle_gamma 120.00
loop_
_atom_site_label
_atom_site_type_symbol
_atom_site_fract_x
_atom_site_fract_y
_atom_site_fract_z
Ba1 Ba 0.0000 0.0000 0.2358
Ga1 Ga 0.0000 0.0000 0.5000
Ge1 Ge 0.0000 0.0000 0.0638
Au1 Au 0.0677 0.5339 0.2692
```

=====

For reference, total magnetic moment by record: 0.0; 0.0; 0.0; 0.0; 0.0; 0.0; 0.0; 0.0 μB/cell.
For reference, formation energy from the elements by record: -0.4833; -0.5404; -0.4722; -0.6642; -0.4507; -0.3850; -0.2305; -0.4171 eV per atom.